Material: SmPu2ScAs4
Method: DFT, PBE
State: relaxed

Output
- energy relative to the elements (eV/atom) = -1.21
- Fermi-level density of states (states/eV/cell) = 20.84

Cell lengths 7.060, 4.109, 7.107 Å; angles 90.00, 109.60, 90.00 degrees
Space group P2/m (No. 10)
Inequivalent atoms, fractional coordinates:
Sm  0.000  0.000  0.000
Pu  0.500  0.000  0.500
Pu  0.500  0.500  0.000
Sc  0.000  0.500  0.500
As  0.245  0.000  0.738
As  0.252  0.500  0.261